Entry from the Alexandria database: Ca3Dy after structural relaxation (PBE-GGA).

Computed properties:
The value obtained for the total magnetization is 0.0 μB/f.u. The formation energy is 55 kJ/mol of formula units. The symmetry is I4/mmm (139). Its crystal system is tetragonal. The polymorph energy (0 for the lowest one) comes out at 24.9 meV/atom.

Unit cell a=5.428 b=5.428 c=10.557 alpha=90.00 beta=90.00 gamma=90.00
Element x y z (fractional)
Ca (0.000, 0.000, 0.000)
Ca (0.000, 0.500, 0.250)
Ca (0.000, 0.500, 0.750)
Ca (0.500, 0.000, 0.250)
Ca (0.500, 0.000, 0.750)
Ca (0.500, 0.500, 0.500)
Dy (0.000, 0.000, 0.500)
Dy (0.500, 0.500, 0.000)

=====

Entry from the Alexandria database: CaDy3 after structural relaxation (PBE-GGA).

Computed properties:
The value obtained for the total magnetization is 0.0 μB/f.u. The formation energy is 37 kJ/mol of formula units. The symmetry is Pmm2 (25). Its crystal system is orthorhombic. The polymorph energy (0 for the lowest one) comes out at 13.8 meV/atom.

Unit cell a=3.627 b=5.762 c=6.383 alpha=90.00 beta=90.00 gamma=90.00
Element x y z (fractional)
Ca (0.000, 0.000, 0.000)
Dy (0.000, 0.500, 0.662)
Dy (0.500, 0.000, 0.501)
Dy (0.500, 0.500, 0.182)

=====

Entry from the Alexandria database: Ca5Dy after structural relaxation (PBE-GGA).

Computed properties:
The value obtained for the total magnetization is 0.0 μB/f.u. The formation energy is 52 kJ/mol of formula units. The symmetry is Cmmm (65). Its crystal system is orthorhombic.

Unit cell a=6.191 b=18.625 c=4.067 alpha=90.00 beta=90.00 gamma=90.00
Element x y z (fractional)
Ca (0.000, 0.000, 0.000)
Ca (0.000, 0.167, 0.500)
Ca (0.000, 0.341, 0.000)
Ca (0.000, 0.659, 0.000)
Ca (0.000, 0.833, 0.500)
Ca (0.500, 0.159, 0.000)
Ca (0.500, 0.333, 0.500)
Ca (0.500, 0.500, 0.000)
Ca (0.500, 0.667, 0.500)
Ca (0.500, 0.841, 0.000)
Dy (0.000, 0.500, 0.500)
Dy (0.500, 0.000, 0.500)

=====

Entry from the Alexandria database: Ca3Dy after structural relaxation (PBE-GGA).

Computed properties:
The value obtained for the total magnetization is 1.0 μB/f.u. The formation energy is 46 kJ/mol of formula units. The symmetry is Imm2 (44). Its crystal system is orthorhombic. The polymorph energy (0 for the lowest one) comes out at 0.0 meV/atom.

Unit cell a=3.734 b=12.500 c=6.601 alpha=90.00 beta=90.00 gamma=90.00
Element x y z (fractional)
Ca (0.000, 0.000, 0.000)
Ca (0.000, 0.246, 0.330)
Ca (0.000, 0.754, 0.330)
Ca (0.500, 0.254, 0.830)
Ca (0.500, 0.500, 0.500)
Ca (0.500, 0.746, 0.830)
Dy (0.000, 0.500, 0.000)
Dy (0.500, 0.000, 0.500)

=====

| no. | DOS at the Fermi energy (states/eV per cell) |
| --- | --- |
| 1 | 12.3 |
| 2 | 7.1 |
| 3 | 17.4 |
| 4 | 14.2 |